1.
# PBE-GGA Ir3Ru2Rh5, relaxed
data_Ir3Ru2Rh5
_cell_length_a 7.093
_cell_length_b 7.093
_cell_length_c 8.099
_cell_angle_alpha 106.94
_cell_angle_beta 106.94
_cell_angle_gamma 21.93
_space_group_name_H-M_alt 'P 1'
_space_group_IT_number 1
_space_group_name_Hall 'P 1'
loop_
_atom_site_label
_atom_site_fract_x
_atom_site_fract_y
_atom_site_fract_z
Ir1 0.000 0.000 0.000
Ir2 0.400 0.400 0.183
Ir3 0.600 0.600 0.817
Ru1 0.185 0.185 0.595
Ru2 0.815 0.815 0.405
Rh1 0.205 0.205 0.105
Rh2 0.391 0.391 0.708
Rh3 0.500 0.500 0.500
Rh4 0.609 0.609 0.292
Rh5 0.795 0.795 0.895
# - Polymorph energy (0 for the lowest one): 0.0 meV per atom
# - SG: C2/m, No. 12
# - D(E_F): 1.344 states/eV per atom
# - Spin magnetization: 0.00 μB per cell
# - Energy relative to the elements: 0.151 eV per atom

=====

2.
# PBE-GGA Tb3Mg3Cd2, relaxed
data_Tb3Mg3Cd2
_cell_length_a 9.170
_cell_length_b 9.170
_cell_length_c 9.170
_cell_angle_alpha 33.15
_cell_angle_beta 33.15
_cell_angle_gamma 33.15
_space_group_name_H-M_alt 'P 1'
_space_group_IT_number 1
_space_group_name_Hall 'P 1'
loop_
_atom_site_label
_atom_site_fract_x
_atom_site_fract_y
_atom_site_fract_z
Tb1 0.000 0.000 0.000
Tb2 0.247 0.247 0.247
Tb3 0.496 0.496 0.496
Mg1 0.122 0.122 0.122
Mg2 0.625 0.625 0.625
Mg3 0.749 0.749 0.749
Cd1 0.373 0.373 0.373
Cd2 0.872 0.872 0.872
# - Polymorph energy (0 for the lowest one): 0.0 meV per atom
# - SG: R3m, No. 160
# - D(E_F): 0.707 states/eV per atom
# - Spin magnetization: 0.00 μB per cell
# - Energy relative to the elements: -0.185 eV per atom

=====

3.
# PBE-GGA Zn2SbTe, relaxed
data_Zn2SbTe
_cell_length_a 6.181
_cell_length_b 8.035
_cell_length_c 4.472
_cell_angle_alpha 90.00
_cell_angle_beta 117.60
_cell_angle_gamma 90.00
_space_group_name_H-M_alt 'P 1'
_space_group_IT_number 1
_space_group_name_Hall 'P 1'
loop_
_atom_site_label
_atom_site_fract_x
_atom_site_fract_y
_atom_site_fract_z
Zn1 0.250 0.250 0.000
Zn2 0.250 0.750 0.000
Zn3 0.750 0.250 0.000
Zn4 0.750 0.750 0.000
Sb1 0.000 0.000 0.500
Sb2 0.500 0.500 0.500
Te1 0.000 0.500 0.500
Te2 0.500 0.000 0.500
# - E_form (uncorrected): 0.0774 eV/atom
# - SG: C2/m, No. 12
# - D(E_F): 0.376 states/eV per atom
# - Spin magnetization: 0.00 μB per cell